No. 1
# Nd2Fe3CoSi4 (SCAN, PBEsol geometry)
data_Nd2Fe3CoSi4
_space_group_name_H-M_alt 'P -4 m 2'
_space_group_IT_number 115
_cell_length_a 3.951
_cell_length_b 3.951
_cell_length_c 9.681
_cell_angle_alpha 90.00
_cell_angle_beta 90.00
_cell_angle_gamma 90.00
loop_
_space_group_symop_operation_xyz
'x,y,z'
'y,-x,-z'
'-x,-y,z'
'-y,x,-z'
'-x,y,z'
'-y,-x,-z'
'x,-y,z'
'y,x,-z'
loop_
_atom_site_label
_atom_site_fract_x
_atom_site_fract_y
_atom_site_fract_z
_atom_site_occupancy
Nd1 0.000 0.500 0.249 1
Fe1 0.000 0.000 0.000 1
Fe2 0.500 0.500 0.000 1
Fe3 0.500 0.500 0.500 1
Co1 0.000 0.000 0.500 1
Si1 0.000 0.500 0.614 1
Si2 0.000 0.500 0.888 1
# Energy relative to the elements, uncorrected in eV/atom: -0.571
# V in Å³/cell: 151.1
# DFT total energy in eV/f.u.: -204.6

---

No. 2
# FeCo2Ni (SCAN, PBEsol geometry)
data_FeCo2Ni
_space_group_name_H-M_alt 'P 4/m m m'
_space_group_IT_number 123
_space_group_name_Hall '-P 4 2'
_cell_length_a 3.471
_cell_length_b 3.471
_cell_length_c 3.498
_cell_angle_alpha 90.00
_cell_angle_beta 90.00
_cell_angle_gamma 90.00
loop_
_atom_site_label
_atom_site_fract_x
_atom_site_fract_y
_atom_site_fract_z
_atom_site_occupancy
Fe1 0.000 0.000 0.000 1
Co1 0.000 0.500 0.500 1
Ni1 0.500 0.500 0.000 1
# Offset from the most stable computed form in meV per atom: 0
# V in Å³/cell: 42.1
# DFT total energy in eV/f.u.: -69.2

---

No. 3
# FeCoNi (SCAN, PBEsol geometry)
data_FeCoNi
_space_group_name_H-M_alt 'P 3 m 1'
_space_group_IT_number 156
_cell_length_a 3.9381
_cell_length_b 3.9381
_cell_length_c 2.3973
_cell_angle_alpha 90.00
_cell_angle_beta 90.00
_cell_angle_gamma 120.00
loop_
_space_group_symop_operation_xyz
'x,y,z'
'-y,x-y,z'
'-x+y,-x,z'
'-y,-x,z'
'-x+y,y,z'
'x,x-y,z'
loop_
_atom_site_label
_atom_site_fract_x
_atom_site_fract_y
_atom_site_fract_z
_atom_site_occupancy
Fe1 0.0000 0.0000 0.0000 1
Co1 0.3333 0.6667 0.2642 1
Ni1 0.6667 0.3333 0.6758 1
# Offset from the most stable computed form in meV per atom: 0
# V in Å³/cell: 32.2
# DFT total energy in eV/f.u.: -51.8

---

No. 4
# FeCoNi (SCAN, PBEsol geometry)
data_FeCoNi
_space_group_name_H-M_alt 'I 4 m m'
_space_group_IT_number 107
_space_group_name_Hall 'I 4 -2'
_cell_length_a 2.449
_cell_length_b 2.449
_cell_length_c 10.613
_cell_angle_alpha 90.00
_cell_angle_beta 90.00
_cell_angle_gamma 90.00
loop_
_atom_site_label
_atom_site_fract_x
_atom_site_fract_y
_atom_site_fract_z
_atom_site_occupancy
Fe1 0.000 0.000 0.000 1
Co1 0.000 0.000 0.331 1
Ni1 0.000 0.000 0.668 1
# Offset from the most stable computed form in meV per atom: 28
# V in Å³/cell: 63.7
# DFT total energy in eV/f.u.: -51.8

---

No. 5
# FeCo2Ni (SCAN, PBEsol geometry)
data_FeCo2Ni
_space_group_name_H-M_alt 'P m m m'
_space_group_IT_number 47
_cell_length_a 2.456
_cell_length_b 3.473
_cell_length_c 4.952
_cell_angle_alpha 90.00
_cell_angle_beta 90.00
_cell_angle_gamma 90.00
loop_
_space_group_symop_operation_xyz
'x,y,z'
'-x,-y,-z'
'-x,-y,z'
'x,y,-z'
'x,-y,-z'
'-x,y,z'
'-x,y,-z'
'x,-y,z'
loop_
_atom_site_label
_atom_site_fract_x
_atom_site_fract_y
_atom_site_fract_z
_atom_site_occupancy
Fe1 0.000 0.000 0.000 1
Co1 0.500 0.500 0.252 1
Ni1 0.000 0.000 0.500 1
# Offset from the most stable computed form in meV per atom: 80
# V in Å³/cell: 42.2
# DFT total energy in eV/f.u.: -68.9

---

No. 6
# FeCo2Ni (SCAN, PBEsol geometry)
data_FeCo2Ni
_space_group_name_H-M_alt 'P 4/m m m'
_space_group_IT_number 123
_space_group_name_Hall '-P 4 2'
_cell_length_a 2.444
_cell_length_b 2.444
_cell_length_c 7.071
_cell_angle_alpha 90.00
_cell_angle_beta 90.00
_cell_angle_gamma 90.00
loop_
_atom_site_label
_atom_site_fract_x
_atom_site_fract_y
_atom_site_fract_z
_atom_site_occupancy
Fe1 0.000 0.000 0.000 1
Co1 0.500 0.500 0.254 1
Ni1 0.000 0.000 0.500 1
# Offset from the most stable computed form in meV per atom: 93
# V in Å³/cell: 42.2
# DFT total energy in eV/f.u.: -68.8

---

No. 7
# FeCo2Ni (SCAN, PBEsol geometry)
data_FeCo2Ni
_space_group_name_H-M_alt 'P m m 2'
_space_group_IT_number 25
_cell_length_a 2.461
_cell_length_b 3.475
_cell_length_c 4.940
_cell_angle_alpha 90.00
_cell_angle_beta 90.00
_cell_angle_gamma 90.00
loop_
_space_group_symop_operation_xyz
'x,y,z'
'-x,-y,z'
'-x,y,z'
'x,-y,z'
loop_
_atom_site_label
_atom_site_fract_x
_atom_site_fract_y
_atom_site_fract_z
_atom_site_occupancy
Fe1 0.000 0.000 0.000 1
Co1 0.000 0.000 0.505 1
Co2 0.500 0.500 0.742 1
Ni1 0.500 0.500 0.251 1
# Offset from the most stable computed form in meV per atom: 22
# V in Å³/cell: 42.2
# DFT total energy in eV/f.u.: -69.1

---

No. 8
# Sr4Fe2CoNiO12 (SCAN, PBEsol geometry)
data_Sr4Fe2CoNiO12
_space_group_name_H-M_alt 'R 3 m'
_space_group_IT_number 160
_space_group_name_Hall 'R 3 -2"'
_cell_length_a 5.3433
_cell_length_b 5.3433
_cell_length_c 26.1975
_cell_angle_alpha 90.00
_cell_angle_beta 90.00
_cell_angle_gamma 120.00
loop_
_atom_site_label
_atom_site_fract_x
_atom_site_fract_y
_atom_site_fract_z
_atom_site_occupancy
Sr1 0.0000 0.0000 0.0000 1
Sr2 0.0000 0.0000 0.2487 1
Sr3 0.0000 0.0000 0.4982 1
Sr4 0.0000 0.0000 0.7496 1
Fe1 0.0000 0.0000 0.6248 1
Fe2 0.0000 0.0000 0.8731 1
Co1 0.0000 0.0000 0.3747 1
Ni1 0.0000 0.0000 0.1243 1
O1 0.0001 0.5001 0.2493 1
O2 0.0036 0.5018 0.5001 1
O3 0.1669 0.3339 0.0817 1
O4 0.1677 0.3355 0.3317 1
# Energy relative to the elements, uncorrected in eV/atom: -2.127
# V in Å³/cell: 647.7
# DFT total energy in eV/f.u.: -276.2